# 1
An optimized crystal structure of AgTeSe. Source: Alexandria, functional PBE.

Values from the calculation:
The calculation puts the total magnetic moment at 0.0 μB/cell. The energy above the most stable polymorph in this dataset is 5.98 kJ/mol of atoms. The calculation puts the density of states at the Fermi level at 0.568 states/eV/atom. Its mass density is 6.287 g/cm3.

Unit cell a=4.2032 b=4.4517 c=4.4517 alpha=85.53 beta=90.00 gamma=90.00
Closest atoms and distances in Å follow each position.
Positions (direct):
Ag  0.0000  0.0000  0.0000  2 Se 2.64, 2 Te 2.77
Te  0.5000  0.2768  0.2768  2 Ag 2.77, 2 Se 3.03
Se  0.5000  0.7551  0.7551  2 Ag 2.64


# 2
An optimized crystal structure of ErSi2Sn2Pt7. Source: Alexandria, functional PBE.

Values from the calculation:
Its final energy is -6.19 eV/atom. The calculation puts the total magnetic moment at 0.0 μB/cell. The calculation puts the density of states at the Fermi level at 0.279 states/eV/atom. Its mass density is 12.880 g/cm3.

Unit cell a=3.9414 b=3.9414 c=15.4041 alpha=97.24 beta=97.24 gamma=90.02
Closest atoms and distances in Å follow each position.
Positions (direct):
Er  0.0000  0.0000  0.0000  12 Pt 2.79-2.97
Si  0.3835  0.3835  0.7632  5 Pt 2.34-2.40
Si  0.6165  0.6165  0.2368  5 Pt 2.34-2.40
Sn  0.2107  0.2107  0.4224  5 Pt 2.82-2.83
Sn  0.7893  0.7893  0.5776  5 Pt 2.82-2.83
Pt  0.0718  0.5717  0.1462  2 Si 2.40
Pt  0.3043  0.3043  0.6089  1 Si 2.34
Pt  0.4283  0.9282  0.8538  2 Si 2.40
Pt  0.5000  0.5000  0.0000  4 Er 2.79, 8 Pt 2.97
Pt  0.5717  0.0718  0.1462  2 Si 2.40
Pt  0.6957  0.6957  0.3911  1 Si 2.34
Pt  0.9282  0.4283  0.8538  2 Si 2.40


# 3
An optimized crystal structure of K2AgCl3F. Source: Alexandria, functional PBE.

Values from the calculation:
Its final energy is -3.25 eV/atom. The calculation puts the total magnetic moment at 0.0 μB/cell. The calculation puts the density of states at the Fermi level at 0.506 states/eV/atom. Its mass density is 2.835 g/cm3.

Unit cell a=8.7666 b=8.7666 c=8.7666 alpha=150.11 beta=146.97 gamma=45.14
Closest atoms and distances in Å follow each position.
Positions (direct):
K  0.1403  0.1403  0.0000  7 Cl 3.19-3.38, 2 F 3.37
K  0.8597  0.8597  0.0000  7 Cl 3.19-3.38, 2 F 3.37
Ag  0.5000  0.5000  0.0000  2 F 2.26, 2 Cl 2.49
Cl  0.0000  0.5000  0.5000  2 Ag 2.49
Cl  0.3371  0.3371  0.0000  1 Ag 2.64
Cl  0.6629  0.6629  0.0000  1 Ag 2.64
F  0.5000  0.0000  0.5000  2 Ag 2.26


# 4
An optimized crystal structure of PrZnAgPd. Source: Alexandria, functional PBE.

Values from the calculation:
The calculation puts the total magnetic moment at 0.0 μB/cell. The energy above the most stable polymorph in this dataset is 10.40 kJ/mol of atoms. The formation energy is -34.2 kJ per mole of atoms. The calculation puts the density of states at the Fermi level at 0.537 states/eV/atom. Its mass density is 8.389 g/cm3.

Unit cell a=4.9014 b=4.9014 c=4.9014 alpha=60.00 beta=60.00 gamma=60.00
Closest atoms and distances in Å follow each position.
Positions (direct):
Pr  0.0000  0.0000  0.0000  4 Pd 3.00, 4 Zn 3.00
Zn  0.7500  0.7500  0.7500  4 Pr 3.00, 4 Ag 3.00
Ag  0.5000  0.5000  0.5000  4 Pd 3.00, 4 Zn 3.00
Pd  0.2500  0.2500  0.2500  4 Pr 3.00, 4 Ag 3.00


# 5
An optimized crystal structure of Ce2DyLu. Source: Alexandria, functional PBE.

Values from the calculation:
The calculation puts the total magnetic moment at 1.6 μB/cell. The energy above the most stable polymorph in this dataset is 1.63 kJ/mol of atoms. The formation energy is 9.8 kJ per mole of atoms. The calculation puts the density of states at the Fermi level at 2.549 states/eV/atom. Its mass density is 8.596 g/cm3.

Unit cell a=4.8911 b=4.8911 c=4.9880 alpha=90.00 beta=90.00 gamma=90.00
Closest atoms and distances in Å follow each position.
Positions (direct):
Ce  0.0000  0.5000  0.0000  4 Ce 3.46, 4 Dy 3.49, 4 Lu 3.49
Ce  0.5000  0.0000  0.0000  4 Ce 3.46, 4 Dy 3.49, 4 Lu 3.49
Dy  0.0000  0.0000  0.5000  4 Lu 3.46, 8 Ce 3.49
Lu  0.5000  0.5000  0.5000  4 Dy 3.46, 8 Ce 3.49


# 6
An optimized crystal structure of Ho2MnTc. Source: Alexandria, functional PBE.

Values from the calculation:
The calculation puts the total magnetic moment at 3.8 μB/cell. The energy above the most stable polymorph in this dataset is 0.08 kJ/mol of atoms. The formation energy is 10.4 kJ per mole of atoms. The calculation puts the density of states at the Fermi level at 0.950 states/eV/atom. Its mass density is 9.656 g/cm3.

Unit cell a=4.8968 b=4.8968 c=4.8968 alpha=60.00 beta=60.00 gamma=60.00
Closest atoms and distances in Å follow each position.
Positions (direct):
Ho  0.2500  0.2500  0.2500  4 Mn 3.00, 4 Tc 3.00
Ho  0.7500  0.7500  0.7500  4 Tc 3.00, 4 Mn 3.00
Mn  0.0000  0.0000  0.0000  8 Ho 3.00
Tc  0.5000  0.5000  0.5000  8 Ho 3.00


# 7
An optimized crystal structure of LaIrRu2. Source: Alexandria, functional PBE.

Values from the calculation:
The calculation puts the total magnetic moment at 3.8 μB/cell. The energy above the most stable polymorph in this dataset is 19.73 kJ/mol of atoms. The formation energy is 33.3 kJ per mole of atoms. The calculation puts the density of states at the Fermi level at 1.211 states/eV/atom. Its mass density is 12.284 g/cm3.

Unit cell a=4.6715 b=4.6715 c=4.6715 alpha=60.00 beta=60.00 gamma=60.00
Closest atoms and distances in Å follow each position.
Positions (direct):
La  0.0000  0.0000  0.0000  8 Ru 2.86
Ir  0.5000  0.5000  0.5000  8 Ru 2.86
Ru  0.2500  0.2500  0.2500  4 Ir 2.86, 4 La 2.86
Ru  0.7500  0.7500  0.7500  4 La 2.86, 4 Ir 2.86


# 8
An optimized crystal structure of VZnIn. Source: Alexandria, functional PBE.

Values from the calculation:
The calculation puts the total magnetic moment at 1.7 μB/cell. The formation energy is 23.4 kJ per mole of atoms. The calculation puts the density of states at the Fermi level at 0.822 states/eV/atom. Its mass density is 7.439 g/cm3.

Unit cell a=4.5366 b=4.5366 c=2.8951 alpha=90.00 beta=90.00 gamma=120.00
Closest atoms and distances in Å follow each position.
Positions (direct):
V  0.0000  0.0000  0.0000  2 V 2.90, 6 Zn 2.99-3.00, 6 In 2.99
Zn  0.6667  0.3333  0.4982  3 In 2.62, 2 Zn 2.90
In  0.3333  0.6667  0.5007  3 Zn 2.62, 2 In 2.90